# MgPaPt

A relaxed MgPaPt crystal (PBE-GGA, Alexandria).

## Properties
Energy of formation from the pure elements   -0.649 eV per atom
E_tot   -6.360 eV per atom

Structure (CIF):
```
data_MgPaPt
_cell_length_a 3.8725
_cell_length_b 3.8725
_cell_length_c 8.3917
_cell_angle_alpha 90.00
_cell_angle_beta 90.00
_cell_angle_gamma 90.00
_symmetry_space_group_name_H-M 'P 4/n m m'
_symmetry_Int_Tables_number 129
loop_
_symmetry_equiv_pos_as_xyz
'x,y,z'
'-x,-y,-z'
'-y+1/2,x,z'
'y+1/2,-x,-z'
'-x+1/2,-y+1/2,z'
'x+1/2,y+1/2,-z'
'y,-x+1/2,z'
'-y,x+1/2,-z'
'x+1/2,-y,-z'
'-x+1/2,y,z'
'-y,-x,-z'
'y,x,z'
'-x,y+1/2,-z'
'x,-y+1/2,z'
'y+1/2,x+1/2,-z'
'-y+1/2,-x+1/2,z'
loop_
_atom_site_label
_atom_site_type_symbol
_atom_site_fract_x
_atom_site_fract_y
_atom_site_fract_z
Mg1 Mg 0.2500 0.7500 0.0000
Pa1 Pa 0.2500 0.2500 0.3689
Pt1 Pt 0.2500 0.2500 0.7562
```

=====

# MgPaPt6

A relaxed MgPaPt6 crystal (PBE-GGA, Alexandria).

## Properties
Energy above the lowest structure with this stoichiometry   59 meV per atom
Energy of formation from the pure elements   -0.830 eV per atom
E_tot   -6.747 eV per atom

Structure (CIF):
```
data_MgPaPt6
_cell_length_a 4.7313
_cell_length_b 5.7729
_cell_length_c 9.9819
_cell_angle_alpha 90.00
_cell_angle_beta 90.00
_cell_angle_gamma 90.00
_symmetry_space_group_name_H-M 'A m m 2'
_symmetry_Int_Tables_number 38
loop_
_symmetry_equiv_pos_as_xyz
'x,y,z'
'-x,-y,z'
'-x,y,z'
'x,-y,z'
'x,y+1/2,z+1/2'
'-x,-y+1/2,z+1/2'
'-x,y+1/2,z+1/2'
'x,-y+1/2,z+1/2'
loop_
_atom_site_label
_atom_site_type_symbol
_atom_site_fract_x
_atom_site_fract_y
_atom_site_fract_z
Mg1 Mg 0.0000 0.0000 0.0000
Pa1 Pa 0.5000 0.0000 0.6668
Pt1 Pt 0.0000 0.0000 0.4979
Pt2 Pt 0.0000 0.2443 0.2523
Pt3 Pt 0.5000 0.0000 0.1686
Pt4 Pt 0.5000 0.2475 0.4158
```

=====

# Mg3PaPt4

A relaxed Mg3PaPt4 crystal (PBE-GGA, Alexandria).

## Properties
Energy of formation from the pure elements   -0.820 eV per atom
E_tot   -5.625 eV per atom

Structure (CIF):
```
data_Mg3PaPt4
_cell_length_a 6.6007
_cell_length_b 6.6007
_cell_length_c 6.6007
_cell_angle_alpha 90.00
_cell_angle_beta 90.00
_cell_angle_gamma 90.00
_symmetry_space_group_name_H-M 'I m -3 m'
_symmetry_Int_Tables_number 229
_symmetry_space_group_name_Hall '-I 4 2 3'
loop_
_atom_site_label
_atom_site_type_symbol
_atom_site_fract_x
_atom_site_fract_y
_atom_site_fract_z
Mg1 Mg 0.0000 0.0000 0.5000
Pa1 Pa 0.0000 0.0000 0.0000
Pt1 Pt 0.2500 0.2500 0.2500
```

=====

# Mg2PaPt2

A relaxed Mg2PaPt2 crystal (PBE-GGA, Alexandria).

## Properties
Energy of formation from the pure elements   -0.730 eV per atom
E_tot   -5.684 eV per atom

Structure (CIF):
```
data_Mg2PaPt2
_cell_length_a 5.0806
_cell_length_b 4.3341
_cell_length_c 9.9996
_cell_angle_alpha 90.00
_cell_angle_beta 95.54
_cell_angle_gamma 90.00
_symmetry_space_group_name_H-M 'P 1 21/m 1'
_symmetry_Int_Tables_number 11
loop_
_symmetry_equiv_pos_as_xyz
'x,y,z'
'-x,-y,-z'
'-x,y+1/2,-z'
'x,-y+1/2,z'
loop_
_atom_site_label
_atom_site_type_symbol
_atom_site_fract_x
_atom_site_fract_y
_atom_site_fract_z
Mg1 Mg 0.2014 0.2500 0.2023
Mg2 Mg 0.2469 0.2500 0.4913
Pa1 Pa 0.3114 0.2500 0.8476
Pt1 Pt 0.1827 0.7500 0.0287
Pt2 Pt 0.2849 0.7500 0.6610
```

=====

# Mg2Pa3Pt6

A relaxed Mg2Pa3Pt6 crystal (PBE-GGA, Alexandria).

## Properties
Energy of formation from the pure elements   -0.672 eV per atom
E_tot   -6.847 eV per atom

Structure (CIF):
```
data_Mg2Pa3Pt6
_cell_length_a 4.1820
_cell_length_b 4.1820
_cell_length_c 25.1976
_cell_angle_alpha 90.00
_cell_angle_beta 90.00
_cell_angle_gamma 90.00
_symmetry_space_group_name_H-M 'I 4/m m m'
_symmetry_Int_Tables_number 139
_symmetry_space_group_name_Hall '-I 4 2'
loop_
_atom_site_label
_atom_site_type_symbol
_atom_site_fract_x
_atom_site_fract_y
_atom_site_fract_z
Mg1 Mg 0.0000 0.0000 0.0533
Pa1 Pa 0.0000 0.0000 0.3027
Pa2 Pa 0.0000 0.0000 0.5000
Pt1 Pt 0.0000 0.0000 0.1908
Pt2 Pt 0.0000 0.5000 0.1122
```

=====

# MgPa2Pt2

A relaxed MgPa2Pt2 crystal (PBE-GGA, Alexandria).

## Properties
Energy of formation from the pure elements   -0.821 eV per atom
E_tot   -7.354 eV per atom

Structure (CIF):
```
data_MgPa2Pt2
_cell_length_a 7.7733
_cell_length_b 7.7733
_cell_length_c 3.6838
_cell_angle_alpha 90.00
_cell_angle_beta 90.00
_cell_angle_gamma 90.00
_symmetry_space_group_name_H-M 'P 4/m b m'
_symmetry_Int_Tables_number 127
_symmetry_space_group_name_Hall '-P 4 2ab'
loop_
_atom_site_label
_atom_site_type_symbol
_atom_site_fract_x
_atom_site_fract_y
_atom_site_fract_z
Mg1 Mg 0.0000 0.0000 0.0000
Pa1 Pa 0.1721 0.3279 0.5000
Pt1 Pt 0.1336 0.6336 0.0000
```

=====

# MgPaPt6

A relaxed MgPaPt6 crystal (PBE-GGA, Alexandria).

## Properties
Energy above the lowest structure with this stoichiometry   0 meV per atom
Energy of formation from the pure elements   -0.889 eV per atom
E_tot   -6.805 eV per atom

Structure (CIF):
```
data_MgPaPt6
_cell_length_a 4.1106
_cell_length_b 4.1106
_cell_length_c 8.0071
_cell_angle_alpha 90.00
_cell_angle_beta 90.00
_cell_angle_gamma 90.00
_symmetry_space_group_name_H-M 'P 4/m m m'
_symmetry_Int_Tables_number 123
_symmetry_space_group_name_Hall '-P 4 2'
loop_
_atom_site_label
_atom_site_type_symbol
_atom_site_fract_x
_atom_site_fract_y
_atom_site_fract_z
Mg1 Mg 0.0000 0.0000 0.0000
Pa1 Pa 0.0000 0.0000 0.5000
Pt1 Pt 0.0000 0.5000 0.2449
Pt2 Pt 0.5000 0.5000 0.0000
Pt3 Pt 0.5000 0.5000 0.5000
```

=====

# MgPaPt2

A relaxed MgPaPt2 crystal (PBE-GGA, Alexandria).

## Properties
Energy of formation from the pure elements   -0.889 eV per atom
E_tot   -6.682 eV per atom

Structure (CIF):
```
data_MgPaPt2
_cell_length_a 3.2465
_cell_length_b 3.2465
_cell_length_c 7.1115
_cell_angle_alpha 90.00
_cell_angle_beta 90.00
_cell_angle_gamma 90.00
_symmetry_space_group_name_H-M 'P 4/m m m'
_symmetry_Int_Tables_number 123
_symmetry_space_group_name_Hall '-P 4 2'
loop_
_atom_site_label
_atom_site_type_symbol
_atom_site_fract_x
_atom_site_fract_y
_atom_site_fract_z
Mg1 Mg 0.0000 0.0000 0.0000
Pa1 Pa 0.0000 0.0000 0.5000
Pt1 Pt 0.5000 0.5000 0.2286
```

=====

# Mg2PaPt4

A relaxed Mg2PaPt4 crystal (PBE-GGA, Alexandria).

## Properties
Energy of formation from the pure elements   -0.840 eV per atom
E_tot   -6.105 eV per atom

Structure (CIF):
```
data_Mg2PaPt4
_cell_length_a 4.0915
_cell_length_b 4.0915
_cell_length_c 15.6033
_cell_angle_alpha 90.00
_cell_angle_beta 90.00
_cell_angle_gamma 90.00
_symmetry_space_group_name_H-M 'I 4/m m m'
_symmetry_Int_Tables_number 139
_symmetry_space_group_name_Hall '-I 4 2'
loop_
_atom_site_label
_atom_site_type_symbol
_atom_site_fract_x
_atom_site_fract_y
_atom_site_fract_z
Mg1 Mg 0.0000 0.0000 0.2461
Pa1 Pa 0.0000 0.0000 0.5000
Pt1 Pt 0.0000 0.5000 0.1271
```

=====

# MgPaPt

A relaxed MgPaPt crystal (PBE-GGA, Alexandria).

## Properties
Energy of formation from the pure elements   -0.470 eV per atom
E_tot   -6.180 eV per atom

Structure (CIF):
```
data_MgPaPt
_cell_length_a 6.6218
_cell_length_b 6.6218
_cell_length_c 6.6218
_cell_angle_alpha 90.00
_cell_angle_beta 90.00
_cell_angle_gamma 90.00
_symmetry_space_group_name_H-M 'F -4 3 m'
_symmetry_Int_Tables_number 216
_symmetry_space_group_name_Hall 'F -4 2 3'
loop_
_atom_site_label
_atom_site_type_symbol
_atom_site_fract_x
_atom_site_fract_y
_atom_site_fract_z
Mg1 Mg 0.0000 0.0000 0.0000
Pa1 Pa 0.0000 0.0000 0.5000
Pt1 Pt 0.2500 0.2500 0.7500
```

=====

# MgPaPt3

A relaxed MgPaPt3 crystal (PBE-GGA, Alexandria).

## Properties
Energy of formation from the pure elements   -0.737 eV per atom
E_tot   -6.580 eV per atom

Structure (CIF):
```
data_MgPaPt3
_cell_length_a 7.5958
_cell_length_b 3.5342
_cell_length_c 7.7196
_cell_angle_alpha 90.00
_cell_angle_beta 90.00
_cell_angle_gamma 90.00
_symmetry_space_group_name_H-M 'P m m a'
_symmetry_Int_Tables_number 51
loop_
_symmetry_equiv_pos_as_xyz
'x,y,z'
'-x,-y,-z'
'-x+1/2,-y,z'
'x+1/2,y,-z'
'x+1/2,-y,-z'
'-x+1/2,y,z'
'-x,y,-z'
'x,-y,z'
loop_
_atom_site_label
_atom_site_type_symbol
_atom_site_fract_x
_atom_site_fract_y
_atom_site_fract_z
Mg1 Mg 0.2500 0.0000 0.1191
Pa1 Pa 0.2500 0.0000 0.5758
Pt1 Pt 0.0647 0.5000 0.3296
Pt2 Pt 0.2500 0.5000 0.8579
```

=====

# MgPa3Pt4

A relaxed MgPa3Pt4 crystal (PBE-GGA, Alexandria).

## Properties
Energy of formation from the pure elements   -0.821 eV per atom
E_tot   -7.601 eV per atom

Structure (CIF):
```
data_MgPa3Pt4
_cell_length_a 4.7995
_cell_length_b 4.7995
_cell_length_c 14.3030
_cell_angle_alpha 90.00
_cell_angle_beta 90.00
_cell_angle_gamma 90.00
_symmetry_space_group_name_H-M 'I 4/m m m'
_symmetry_Int_Tables_number 139
_symmetry_space_group_name_Hall '-I 4 2'
loop_
_atom_site_label
_atom_site_type_symbol
_atom_site_fract_x
_atom_site_fract_y
_atom_site_fract_z
Mg1 Mg 0.0000 0.0000 0.0000
Pa1 Pa 0.0000 0.0000 0.2375
Pa2 Pa 0.0000 0.0000 0.5000
Pt1 Pt 0.0000 0.5000 0.1155
```

=====

# Mg5PaPt6

A relaxed Mg5PaPt6 crystal (PBE-GGA, Alexandria).

## Properties
Energy of formation from the pure elements   -0.865 eV per atom
E_tot   -5.341 eV per atom

Structure (CIF):
```
data_Mg5PaPt6
_cell_length_a 4.5314
_cell_length_b 6.8545
_cell_length_c 6.8542
_cell_angle_alpha 90.00
_cell_angle_beta 102.89
_cell_angle_gamma 90.00
_symmetry_space_group_name_H-M 'P 1 2/m 1'
_symmetry_Int_Tables_number 10
loop_
_symmetry_equiv_pos_as_xyz
'x,y,z'
'-x,-y,-z'
'-x,y,-z'
'x,-y,z'
loop_
_atom_site_label
_atom_site_type_symbol
_atom_site_fract_x
_atom_site_fract_y
_atom_site_fract_z
Mg1 Mg 0.0000 0.0000 0.0000
Mg2 Mg 0.3295 0.5000 0.6470
Mg3 Mg 0.3346 0.0000 0.6696
Pa1 Pa 0.0000 0.5000 0.0000
Pt1 Pt 0.1656 0.2417 0.3328
Pt2 Pt 0.5000 0.2448 0.0000
```